# 1
Compound: CrTc2Rh
Source: Alexandria via LeMat-Bulk
Functional: meta-GGA SCAN
Structure: PBEsol geometry

Results
The value obtained for the formation energy is 0.041 eV/atom. The energy relative to the lowest polymorph listed for this composition is 0.000 eV per formula unit. The total moment comes out at 0.00 Bohr magnetons per cell. The volume is 13.2 A^3/atom. Its symmetry is P4/mmm (123).

Lattice parameters (Å, degrees): 2.662 2.662 7.432 90.00 90.00 90.00
Positions (direct):
1 Cr 0.000 0.000 0.000
2 Tc 0.500 0.500 0.236
3 Tc 0.500 0.500 0.764
4 Rh 0.000 0.000 0.500

# 2
Compound: ZnIn2Se
Source: Alexandria via LeMat-Bulk
Functional: meta-GGA SCAN
Structure: PBEsol geometry

Results
The energy relative to the lowest polymorph listed for this composition is 0.532 eV per formula unit. The total moment comes out at 0.00 Bohr magnetons per cell. The volume is 22.0 A^3/atom. Its symmetry is Cmmm (65).

Lattice parameters (Å, degrees): 3.533 3.533 7.073 90.00 90.00 93.49
Positions (direct):
1 Zn 0.000 0.000 0.000
2 In 0.500 0.500 0.253
3 In 0.500 0.500 0.747
4 Se 0.000 0.000 0.500

# 3
Compound: CdReS3
Source: Alexandria via LeMat-Bulk
Functional: meta-GGA SCAN
Structure: PBEsol geometry

Results
The total moment comes out at 0.00 Bohr magnetons per cell. The volume is 19.8 A^3/atom. Its symmetry is Pm-3m (221). The energy is -25.859 eV/atom.

Lattice parameters (Å, degrees): 4.625 4.625 4.625 90.00 90.00 90.00
Positions (direct):
1 Cd 0.000 0.000 0.000
2 Re 0.500 0.500 0.500
3 S 0.000 0.500 0.500
4 S 0.500 0.000 0.500
5 S 0.500 0.500 0.000

# 4
Compound: Hf5Si4
Source: Alexandria via LeMat-Bulk
Functional: meta-GGA SCAN
Structure: PBEsol geometry

Results
The total moment comes out at 0.00 Bohr magnetons per cell. The volume is 17.3 A^3/atom. Its symmetry is P4_12_12 (92). The energy is -40.071 eV/atom.

Lattice parameters (Å, degrees): 6.999 6.999 12.742 90.00 90.00 90.00
Positions (direct):
1 Hf 0.001 0.147 0.126
2 Hf 0.002 0.347 0.533
3 Hf 0.147 0.001 0.874
4 Hf 0.153 0.502 0.783
5 Hf 0.174 0.826 0.250
6 Hf 0.326 0.326 0.000
7 Hf 0.347 0.002 0.467
8 Hf 0.353 0.501 0.376
9 Hf 0.498 0.847 0.717
10 Hf 0.499 0.647 0.124
11 Hf 0.501 0.353 0.624
12 Hf 0.502 0.153 0.217
13 Hf 0.647 0.499 0.876
14 Hf 0.653 0.998 0.967
15 Hf 0.674 0.674 0.500
16 Hf 0.826 0.174 0.750
17 Hf 0.847 0.498 0.283
18 Hf 0.853 0.999 0.374
19 Hf 0.998 0.653 0.033
20 Hf 0.999 0.853 0.626
21 Si 0.047 0.697 0.436
22 Si 0.146 0.205 0.323
23 Si 0.197 0.453 0.186
24 Si 0.205 0.146 0.677
25 Si 0.295 0.646 0.573
26 Si 0.303 0.953 0.064
27 Si 0.354 0.705 0.927
28 Si 0.453 0.197 0.814
29 Si 0.547 0.803 0.314
30 Si 0.646 0.295 0.427
31 Si 0.697 0.047 0.564
32 Si 0.705 0.354 0.073
33 Si 0.795 0.854 0.177
34 Si 0.803 0.547 0.686
35 Si 0.854 0.795 0.823
36 Si 0.953 0.303 0.936

# 5
Compound: CrRuRh2
Source: Alexandria via LeMat-Bulk
Functional: meta-GGA SCAN
Structure: PBEsol geometry

Results
The value obtained for the formation energy is 0.007 eV/atom. The total moment comes out at 0.00 Bohr magnetons per cell. The volume is 12.9 A^3/atom. Its symmetry is P4mm (99).

Lattice parameters (Å, degrees): 2.641 2.641 7.390 90.00 90.00 90.00
Positions (direct):
1 Cr 0.000 0.000 0.000
2 Ru 0.500 0.500 0.760
3 Rh 0.000 0.000 0.504
4 Rh 0.500 0.500 0.236

# 6
Compound: CaInAs2
Source: Alexandria via LeMat-Bulk
Functional: meta-GGA SCAN
Structure: PBEsol geometry

Results
The value obtained for the formation energy is -0.471 eV/atom. The total moment comes out at 0.00 Bohr magnetons per cell. The volume is 21.4 A^3/atom. Its symmetry is P4/mmm (123).

Lattice parameters (Å, degrees): 4.662 4.662 3.945 90.00 90.00 90.00
Positions (direct):
1 Ca 0.000 0.000 0.000
2 In 0.500 0.500 0.000
3 As 0.000 0.500 0.500
4 As 0.500 0.000 0.500

# 7
Compound: KGe2RhI
Source: Alexandria via LeMat-Bulk
Functional: meta-GGA SCAN
Structure: PBEsol geometry

Results
The total moment comes out at 0.00 Bohr magnetons per cell. The volume is 28.0 A^3/atom. Its symmetry is P4/mmm (123). The energy is -21.651 eV/atom.

Lattice parameters (Å, degrees): 5.520 5.520 4.596 90.00 90.00 90.00
Positions (direct):
1 K 0.000 0.000 0.000
2 Ge 0.000 0.500 0.000
3 Ge 0.500 0.000 0.000
4 Rh 0.000 0.000 0.500
5 I 0.500 0.500 0.500

# 8
Compound: BaB3O
Source: Alexandria via LeMat-Bulk
Functional: meta-GGA SCAN
Structure: PBEsol geometry

Results
The total moment comes out at 1.02 Bohr magnetons per cell. The volume is 27.7 A^3/atom. Its symmetry is Pm-3m (221). The energy is -10.240 eV/atom.

Lattice parameters (Å, degrees): 5.176 5.176 5.176 90.00 90.00 90.00
Positions (direct):
1 Ba 0.000 0.000 0.000
2 B 0.000 0.000 0.500
3 B 0.000 0.500 0.000
4 B 0.500 0.000 0.000
5 O 0.500 0.500 0.500

# 9
Compound: Hg2Sb
Source: Alexandria via LeMat-Bulk
Functional: meta-GGA SCAN
Structure: PBEsol geometry

Results
The energy relative to the lowest polymorph listed for this composition is 0.991 eV per formula unit. The total moment comes out at 0.00 Bohr magnetons per cell. The volume is 24.3 A^3/atom. Its symmetry is Fd-3m (227).

Lattice parameters (Å, degrees): 5.907 5.907 5.907 60.00 60.00 60.00
Positions (direct):
1 Hg 0.000 0.000 0.000
2 Hg 0.000 0.000 0.500
3 Hg 0.000 0.500 0.000
4 Hg 0.500 0.000 0.000
5 Sb 0.375 0.375 0.375
6 Sb 0.625 0.625 0.625

# 10
Compound: AlSbSe2
Source: Alexandria via LeMat-Bulk
Functional: meta-GGA SCAN
Structure: PBEsol geometry

Results
The energy relative to the lowest polymorph listed for this composition is 2.187 eV per formula unit. The total moment comes out at 0.00 Bohr magnetons per cell. The volume is 23.7 A^3/atom. Its symmetry is Cmm2 (35).

Lattice parameters (Å, degrees): 3.484 3.484 8.470 90.00 90.00 113.03
Positions (direct):
1 Al 0.000 0.000 0.000
2 Sb 0.500 0.500 0.733
3 Se 0.000 0.000 0.511
4 Se 0.500 0.500 0.167

# 11
Compound: LaY2Mg
Source: Alexandria via LeMat-Bulk
Functional: meta-GGA SCAN
Structure: PBEsol geometry

Results
The value obtained for the formation energy is 0.036 eV/atom. The total moment comes out at 0.01 Bohr magnetons per cell. The volume is 29.5 A^3/atom. Its symmetry is P2/m (10).

Lattice parameters (Å, degrees): 3.543 4.857 6.854 90.00 90.11 90.00
Positions (direct):
1 La 0.000 0.000 0.000
2 Y 0.499 0.500 0.743
3 Y 0.501 0.500 0.257
4 Mg 0.000 0.000 0.500

# 12
Compound: Li5MgTi12O24
Source: Alexandria via LeMat-Bulk
Functional: meta-GGA SCAN
Structure: PBEsol geometry

Results
The total moment comes out at 0.03 Bohr magnetons per cell. The volume is 10.5 A^3/atom. Its symmetry is P3m1 (156). The energy is -11.631 eV/atom.

Lattice parameters (Å, degrees): 5.909 5.909 14.576 90.00 90.00 120.00
Positions (direct):
1 Li 0.000 0.000 0.000
2 Li 0.000 0.000 0.241
3 Li 0.333 0.667 0.653
4 Li 0.667 0.333 0.328
5 Li 0.667 0.333 0.575
6 Mg 0.667 0.333 0.953
7 Ti 0.000 0.000 0.614
8 Ti 0.166 0.333 0.450
9 Ti 0.166 0.834 0.450
10 Ti 0.326 0.163 0.779
11 Ti 0.333 0.667 0.284
12 Ti 0.333 0.667 0.908
13 Ti 0.504 0.008 0.119
14 Ti 0.504 0.496 0.119
15 Ti 0.667 0.834 0.450
16 Ti 0.837 0.163 0.779
17 Ti 0.837 0.674 0.779
18 Ti 0.992 0.496 0.119
19 O 0.000 0.000 0.379
20 O 0.000 0.000 0.855
21 O 0.032 0.516 0.371
22 O 0.152 0.305 0.703
23 O 0.152 0.848 0.703
24 O 0.184 0.368 0.197
25 O 0.184 0.816 0.197
26 O 0.302 0.151 0.529
27 O 0.333 0.667 0.039
28 O 0.333 0.667 0.520
29 O 0.360 0.180 0.043
30 O 0.484 0.516 0.371
31 O 0.484 0.968 0.371
32 O 0.506 0.011 0.864
33 O 0.506 0.494 0.864
34 O 0.632 0.816 0.197
35 O 0.667 0.333 0.192
36 O 0.667 0.333 0.714
37 O 0.695 0.848 0.703
38 O 0.820 0.180 0.043
39 O 0.820 0.640 0.043
40 O 0.849 0.151 0.529
41 O 0.849 0.698 0.529
42 O 0.989 0.494 0.864